Entry a
Material: BaMo2Ir
Method: DFT, GGA-PBE
State: relaxed

a = 6.7803 Å, b = 6.7803 Å, c = 6.7803 Å
α = 90.00°, β = 90.00°, γ = 90.00°
Space group F-43m (No. 216)
One atom of each set of equivalent atoms:
Ba: 0.0000 0.0000 0.0000 (multiplicity 4)
Mo: 0.0000 0.0000 0.5000 (multiplicity 4)
Mo: 0.2500 0.2500 0.7500 (multiplicity 4)
Ir: 0.2500 0.2500 0.2500 (multiplicity 4)

## Properties
Size of the total moment ... 0.000 μB per atom
DOS(E_F) ... 0.4952 states/eV/atom
ρ ... 11111 kg/m³

Entry b
Material: BaMo2Ir
Method: DFT, GGA-PBE
State: relaxed

a = 3.3934 Å, b = 3.4484 Å, c = 7.7868 Å
α = 90.00°, β = 90.11°, γ = 90.00°
Space group P2/m (No. 10)
One atom of each set of equivalent atoms:
Ba: 0.0000 0.0000 0.0000 (multiplicity 1)
Mo: 0.4985 0.5000 0.3498 (multiplicity 2)
Ir: 0.0000 0.0000 0.5000 (multiplicity 1)

## Properties
Size of the total moment ... 0.000 μB per atom
DOS(E_F) ... 0.8222 states/eV/atom
ρ ... 9502 kg/m³

What should be chosen as the most stable of them? Choose entry b.

Entry a
Material: BaMo2Ir
Method: DFT, GGA-PBE
State: relaxed

a = 2.8861 Å, b = 2.8861 Å, c = 9.6467 Å
α = 90.00°, β = 90.00°, γ = 90.00°
Space group P4/mmm (No. 123)
One atom of each set of equivalent atoms:
Ba: 0.0000 0.0000 0.0000 (multiplicity 1)
Mo: 0.5000 0.5000 0.3069 (multiplicity 2)
Ir: 0.0000 0.0000 0.5000 (multiplicity 1)

## Properties
Size of the total moment ... 0.000 μB per atom
DOS(E_F) ... 1.2681 states/eV/atom
ρ ... 10775 kg/m³

Entry b
Material: BaMo2Ir
Method: DFT, GGA-PBE
State: relaxed

a = 5.7393 Å, b = 9.8159 Å, c = 2.8949 Å
α = 90.00°, β = 108.39°, γ = 90.00°
Space group C2/m (No. 12)
One atom of each set of equivalent atoms:
Ba: 0.0000 0.0000 0.0000 (multiplicity 2)
Mo: 0.2500 0.2500 0.5000 (multiplicity 4)
Ir: 0.0000 0.5000 0.0000 (multiplicity 2)

## Properties
Size of the total moment ... 0.000 μB per atom
DOS(E_F) ... 1.0401 states/eV/atom
ρ ... 11189 kg/m³

What should be chosen as the most stable of them? Choose entry a.

Entry a
Material: BaMoIr3
Method: DFT, GGA-PBE
State: relaxed

a = 4.8690 Å, b = 4.8690 Å, c = 4.8690 Å
α = 90.00°, β = 90.00°, γ = 90.00°
Space group Pm-3m (No. 221)
One atom of each set of equivalent atoms:
Ba: 0.0000 0.0000 0.0000 (multiplicity 1)
Mo: 0.5000 0.5000 0.5000 (multiplicity 1)
Ir: 0.0000 0.5000 0.5000 (multiplicity 3)

## Properties
Size of the total moment ... 0.000 μB per atom
DOS(E_F) ... 0.9909 states/eV/atom
ρ ... 11651 kg/m³

Entry b
Material: BaMoIr3
Method: DFT, GGA-PBE
State: relaxed

a = 4.9602 Å, b = 4.9602 Å, c = 4.9602 Å
α = 90.00°, β = 90.00°, γ = 90.00°
Space group Pm-3m (No. 221)
One atom of each set of equivalent atoms:
Ba: 0.0000 0.0000 0.0000 (multiplicity 1)
Mo: 0.5000 0.5000 0.5000 (multiplicity 1)
Ir: 0.0000 0.0000 0.5000 (multiplicity 3)

## Properties
Size of the total moment ... 0.000 μB per atom
DOS(E_F) ... 2.4357 states/eV/atom
ρ ... 11020 kg/m³

What should be chosen as the most stable of them? Choose entry a.

Entry a
Material: BaMo3Ir
Method: DFT, GGA-PBE
State: relaxed

a = 4.9393 Å, b = 4.9393 Å, c = 4.9393 Å
α = 90.00°, β = 90.00°, γ = 90.00°
Space group Pm-3m (No. 221)
One atom of each set of equivalent atoms:
Ba: 0.0000 0.0000 0.0000 (multiplicity 1)
Mo: 0.0000 0.5000 0.5000 (multiplicity 3)
Ir: 0.5000 0.5000 0.5000 (multiplicity 1)

## Properties
Size of the total moment ... 0.529 μB per atom
DOS(E_F) ... 1.2657 states/eV/atom
ρ ... 8507 kg/m³

Entry b
Material: BaMo3Ir
Method: DFT, GGA-PBE
State: relaxed

a = 4.8380 Å, b = 4.8380 Å, c = 4.8380 Å
α = 90.00°, β = 90.00°, γ = 90.00°
Space group Pm-3m (No. 221)
One atom of each set of equivalent atoms:
Ba: 0.0000 0.0000 0.0000 (multiplicity 1)
Mo: 0.0000 0.0000 0.5000 (multiplicity 3)
Ir: 0.5000 0.5000 0.5000 (multiplicity 1)

## Properties
Size of the total moment ... 0.000 μB per atom
DOS(E_F) ... 0.9533 states/eV/atom
ρ ... 9053 kg/m³

What should be chosen as the most stable of them? Choose entry a.